# 1
DFT (PBE-GGA) results for a geometry-optimized K2SmPaTe4 structure.

Geometry as extended XYZ:
```
8
Lattice="-1.059 -4.350 -0.078 0.892 -0.355 7.752 -8.357 2.062 -1.529" Properties=species:S:1:pos:R:3 pbc="T T T"
Sm 0.000 0.000 0.000
K -3.732 0.853 3.111
K -4.708 -1.144 -0.803
Pa -0.083 -2.353 3.837
Te -6.329 1.526 0.847
Te -1.135 0.181 5.375
Te -2.106 -1.819 1.508
Te -6.418 -0.824 4.637
```

Computed properties:
As for the crystal system: monoclinic. Its space group is P2/m. As for the energy relative to the elements, uncorrected: -1153 meV per atom.

---

# 2
DFT (PBE-GGA) results for a geometry-optimized KPaSn3 structure.

Geometry as extended XYZ:
```
5
Lattice="-3.090 1.389 -4.900 -1.706 -5.683 -0.535 -4.799 1.126 3.345" Properties=species:S:1:pos:R:3 pbc="T T T"
Sn -2.399 0.563 1.673
Sn -0.853 -2.841 -0.267
Sn -1.545 0.694 -2.450
K -4.798 -1.584 -1.045
Pa 0.000 0.000 0.000
```

Computed properties:
As for the crystal system: cubic. Its space group is Pm-3m. The energy relative to the elements is 0.348 eV/atom.